# Re8Os | the Alexandria database | PBE-GGA | optimized geometry
data_Re8Os
_chemical_formula_sum 'Re16 Os2'
_space_group_name_H-M_alt 'I 4/m m m'
_space_group_IT_number 139
_space_group_name_Hall '-I 4 2'
_cell_length_a 8.308
_cell_length_b 8.308
_cell_length_c 3.899
_cell_angle_alpha 90.00
_cell_angle_beta 90.00
_cell_angle_gamma 90.00
loop_
_atom_site_label
_atom_site_fract_x
_atom_site_fract_y
_atom_site_fract_z
Re1 0.000 0.331 0.000
Re2 0.165 0.165 0.500
Os1 0.000 0.000 0.000
# **Formation energy**: 0.0621 eV per atom
# **DOS(E_F)**: 17.418 states/eV per cell
# **Electronic total energy**: -110.26 eV/f.u.

***

# Na3SbSe4 | the Alexandria database | PBE-GGA | optimized geometry
data_Na3SbSe4
_chemical_formula_sum 'Na6 Sb2 Se8'
_space_group_name_H-M_alt 'P m n 21'
_space_group_IT_number 31
_cell_length_a 11.518
_cell_length_b 6.288
_cell_length_c 6.343
_cell_angle_alpha 90.00
_cell_angle_beta 90.00
_cell_angle_gamma 90.00
loop_
_space_group_symop_operation_xyz
'x,y,z'
'-x+1/2,-y,z+1/2'
'-x,y,z'
'x+1/2,-y,z+1/2'
loop_
_atom_site_label
_atom_site_fract_x
_atom_site_fract_y
_atom_site_fract_z
Na1 0.000 0.225 0.000
Na2 0.249 0.261 0.435
Sb1 0.000 0.653 0.556
Se1 0.000 0.256 0.504
Se2 0.000 0.723 0.946
Se3 0.197 0.770 0.422
# **Formation energy from raw total energies**: -69 kJ per mole of atoms
# **Electronic total energy**: -27.71 eV/f.u.